Record 1
The following is a DFT calculation (GGA-PBE) of crystalline ScGaPd4 at its relaxed geometry.

Properties
Its space-group type is No. 12. As for the formation energy: -4.26 eV/f.u. The crystal system is monoclinic. Its density of states at the Fermi level is 2.56 states/eV per cell.

Unit cell a=3.537 b=5.122 c=6.582 alpha=109.13 beta=74.41 gamma=69.80
Fractional coordinates of all 6 atoms:
Pd (0.812, 0.537, 0.839)
Pd (0.343, 0.993, 0.321)
Sc (0.500, 0.500, 0.500)
Pd (0.657, 0.007, 0.679)
Ga (0.000, 0.000, 0.000)
Pd (0.188, 0.463, 0.161)

***

Record 2
The following is a DFT calculation (GGA-PBE) of crystalline Sc3Ga2Pd at its relaxed geometry.

Properties
Its space-group type is No. 123. As for the formation energy: -4.24 eV/f.u. The crystal system is tetragonal. Its density of states at the Fermi level is 3.37 states/eV per cell.

Unit cell a=3.364 b=3.364 c=9.895 alpha=90.00 beta=90.00 gamma=90.00
Fractional coordinates of all 6 atoms:
Pd (0.500, 0.500, 0.500)
Sc (0.000, 0.000, 0.663)
Sc (0.000, 0.000, 0.000)
Ga (0.500, 0.500, 0.831)
Sc (0.000, 0.000, 0.337)
Ga (0.500, 0.500, 0.169)

***

Record 3
The following is a DFT calculation (GGA-PBE) of crystalline Sc4GaPd3 at its relaxed geometry.

Properties
Its space-group type is No. 166. As for the formation energy: -6.66 eV/f.u. The crystal system is trigonal. Its density of states at the Fermi level is 3.99 states/eV per cell.

Unit cell a=4.702 b=4.702 c=8.156 alpha=73.25 beta=73.25 gamma=60.00
Fractional coordinates of all 8 atoms:
Sc (0.623, 0.623, 0.132)
Sc (0.377, 0.377, 0.868)
Pd (0.500, 0.500, 0.500)
Pd (0.254, 0.254, 0.238)
Pd (0.746, 0.746, 0.762)
Sc (0.127, 0.127, 0.620)
Sc (0.873, 0.873, 0.380)
Ga (0.000, 0.000, 0.000)

***

Record 4
The following is a DFT calculation (GGA-PBE) of crystalline ScGa2Pd7 at its relaxed geometry.

Properties
Its space-group type is No. 65. The energy above the most stable polymorph in this dataset comes out at 0.3988 eV/atom. As for the formation energy: -2.58 eV/f.u. The crystal system is orthorhombic. Its density of states at the Fermi level is 4.46 states/eV per cell.

Unit cell a=4.362 b=7.128 c=7.128 alpha=117.97 beta=90.00 gamma=90.00
Fractional coordinates of all 10 atoms:
Pd (0.000, 0.215, 0.785)
Pd (0.500, 0.500, 0.500)
Ga (0.500, 0.699, 0.301)
Pd (0.500, 0.929, 0.697)
Pd (0.500, 0.303, 0.071)
Pd (0.000, 0.785, 0.215)
Pd (0.500, 0.071, 0.303)
Sc (0.000, 0.000, 0.000)
Ga (0.500, 0.301, 0.699)
Pd (0.500, 0.697, 0.929)

***

Record 5
The following is a DFT calculation (GGA-PBE) of crystalline ScGa7Pd4 at its relaxed geometry.

Properties
Its space-group type is No. 12. As for the formation energy: -4.05 eV/f.u. The crystal system is monoclinic. Its density of states at the Fermi level is 5.86 states/eV per cell.

Unit cell a=4.851 b=7.893 c=6.242 alpha=82.00 beta=67.13 gamma=72.10
Fractional coordinates of all 12 atoms:
Ga (0.351, 0.583, 0.715)
Ga (0.211, 0.140, 0.437)
Pd (0.592, 0.196, 0.621)
Ga (0.070, 0.652, 0.208)
Pd (0.293, 0.342, 0.072)
Sc (0.000, 0.000, 0.000)
Ga (0.500, 0.000, 0.000)
Pd (0.707, 0.658, 0.928)
Pd (0.408, 0.804, 0.379)
Ga (0.930, 0.348, 0.792)
Ga (0.789, 0.860, 0.563)
Ga (0.649, 0.417, 0.285)

***

Record 6
The following is a DFT calculation (GGA-PBE) of crystalline Sc3Ga3Pd at its relaxed geometry.

Properties
Its space-group type is No. 12. The energy above the most stable polymorph in this dataset comes out at 0.0000 eV/atom. As for the formation energy: -4.84 eV/f.u. The crystal system is monoclinic. Its density of states at the Fermi level is 10.40 states/eV per cell.

Unit cell a=4.147 b=5.511 c=12.926 alpha=83.39 beta=80.77 gamma=67.90
Fractional coordinates of all 14 atoms:
Ga (0.886, 0.152, 0.075)
Ga (0.868, 0.722, 0.541)
Sc (0.475, 0.671, 0.379)
Sc (0.271, 0.230, 0.228)
Ga (0.132, 0.278, 0.459)
Sc (0.729, 0.770, 0.772)
Sc (0.394, 0.287, 0.926)
Ga (0.987, 0.799, 0.228)
Sc (0.525, 0.329, 0.621)
Pd (0.238, 0.909, 0.614)
Sc (0.606, 0.713, 0.074)
Ga (0.114, 0.848, 0.925)
Pd (0.762, 0.091, 0.386)
Ga (0.013, 0.201, 0.772)

***

Record 7
The following is a DFT calculation (GGA-PBE) of crystalline Sc2Ga4Pd3 at its relaxed geometry.

Properties
Its space-group type is No. 69. As for the formation energy: -5.55 eV/f.u. The crystal system is orthorhombic. Its density of states at the Fermi level is 4.39 states/eV per cell.

Unit cell a=5.384 b=5.384 c=6.792 alpha=101.42 beta=101.42 gamma=120.03
Fractional coordinates of all 9 atoms:
Ga (0.668, 0.991, 0.659)
Pd (0.000, 0.500, 0.000)
Sc (0.626, 0.626, 0.253)
Pd (0.000, 0.000, 0.000)
Pd (0.500, 0.000, 0.000)
Ga (0.009, 0.332, 0.341)
Ga (0.332, 0.009, 0.341)
Ga (0.991, 0.668, 0.659)
Sc (0.374, 0.374, 0.747)

***

Record 8
The following is a DFT calculation (GGA-PBE) of crystalline Sc2Ga3Pd2 at its relaxed geometry.

Properties
Its space-group type is No. 12. As for the formation energy: -5.16 eV/f.u. The crystal system is monoclinic. Its density of states at the Fermi level is 4.68 states/eV per cell.

Unit cell a=4.276 b=5.265 c=6.429 alpha=110.08 beta=90.00 gamma=113.96
Fractional coordinates of all 7 atoms:
Ga (0.614, 0.229, 0.447)
Ga (0.386, 0.771, 0.553)
Ga (0.500, 0.000, 0.000)
Sc (0.152, 0.305, 0.774)
Pd (0.137, 0.275, 0.213)
Sc (0.848, 0.695, 0.226)
Pd (0.863, 0.725, 0.787)

***

Record 9
The following is a DFT calculation (GGA-PBE) of crystalline ScGa3Pd6 at its relaxed geometry.

Properties
Its space-group type is No. 11. As for the formation energy: -5.96 eV/f.u. The crystal system is monoclinic. Its density of states at the Fermi level is 7.22 states/eV per cell.

Unit cell a=2.982 b=10.407 c=11.392 alpha=114.22 beta=90.00 gamma=90.00
Fractional coordinates of all 20 atoms:
Ga (0.750, 0.220, 0.120)
Pd (0.750, 0.687, 0.284)
Pd (0.250, 0.069, 0.925)
Pd (0.250, 0.466, 0.360)
Pd (0.250, 0.313, 0.716)
Pd (0.750, 0.534, 0.640)
Pd (0.750, 0.931, 0.075)
Sc (0.750, 0.092, 0.721)
Ga (0.750, 0.673, 0.500)
Pd (0.750, 0.331, 0.950)
Ga (0.250, 0.327, 0.500)
Pd (0.250, 0.669, 0.050)
Ga (0.250, 0.780, 0.880)
Pd (0.250, 0.889, 0.519)
Ga (0.750, 0.521, 0.858)
Pd (0.750, 0.111, 0.481)
Pd (0.250, 0.159, 0.270)
Sc (0.250, 0.908, 0.279)
Pd (0.750, 0.841, 0.730)
Ga (0.250, 0.479, 0.142)

***

Record 10
The following is a DFT calculation (GGA-PBE) of crystalline Sc2GaPd2 at its relaxed geometry.

Properties
Its space-group type is No. 139. As for the formation energy: -2.70 eV/f.u. The crystal system is tetragonal. Its density of states at the Fermi level is 3.46 states/eV per cell.

Unit cell a=5.155 b=5.155 c=5.274 alpha=60.75 beta=60.75 gamma=90.00
Fractional coordinates of all 5 atoms:
Pd (0.664, 0.664, 0.671)
Ga (0.000, 0.000, 0.000)
Sc (0.750, 0.250, 0.500)
Sc (0.250, 0.750, 0.500)
Pd (0.336, 0.336, 0.329)

***

Record 11
The following is a DFT calculation (GGA-PBE) of crystalline Sc8Ga2Pd at its relaxed geometry.

Properties
Its space-group type is No. 12. As for the formation energy: -4.17 eV/f.u. The crystal system is monoclinic. Its density of states at the Fermi level is 13.39 states/eV per cell.

Unit cell a=4.624 b=6.172 c=8.834 alpha=101.23 beta=105.17 gamma=90.00
Fractional coordinates of all 11 atoms:
Sc (0.791, 0.683, 0.582)
Sc (0.592, 0.472, 0.184)
Sc (0.344, 0.016, 0.689)
Pd (0.500, 0.000, 0.000)
Ga (0.813, 0.246, 0.626)
Sc (0.979, 0.232, 0.958)
Sc (0.209, 0.317, 0.418)
Sc (0.021, 0.768, 0.042)
Sc (0.408, 0.528, 0.816)
Sc (0.656, 0.984, 0.311)
Ga (0.187, 0.754, 0.374)

***

Record 12
The following is a DFT calculation (GGA-PBE) of crystalline ScGa2Pd at its relaxed geometry.

Properties
Its space-group type is No. 123. As for the formation energy: -2.51 eV/f.u. The crystal system is tetragonal. Its density of states at the Fermi level is 3.28 states/eV per cell.

Unit cell a=4.199 b=4.023 c=4.023 alpha=90.00 beta=90.00 gamma=90.00
Fractional coordinates of all 4 atoms:
Sc (0.500, 0.000, 0.000)
Ga (0.000, 0.500, 0.000)
Pd (0.500, 0.500, 0.500)
Ga (0.000, 0.000, 0.500)

***

Total magnetic moment, respectively: 0.00 0.00 0.00 0.00 0.00 0.00 0.00 0.00 0.00 0.00 0.00 0.00 μB per cell.